# 1
The following is a DFT calculation (PBE) of an optimized crystal structure of InHg2Au2.

Cell: 8.693 8.693 2.988 Å, 90.00 90.00 90.00°
Positions (direct):
In  0.000  0.000  0.000
In  0.500  0.500  0.000
Hg  0.131  0.369  0.000
Hg  0.369  0.869  0.000
Hg  0.631  0.131  0.000
Hg  0.869  0.631  0.000
Au  0.168  0.668  0.500
Au  0.332  0.168  0.500
Au  0.668  0.832  0.500
Au  0.832  0.332  0.500

Calculated values
- Excess energy over the best structure of this formula in the dataset: 35.4 kJ/mol of formula units
- DOS at the Fermi energy: 3.41 states/eV per cell
- Total DFT energy (no corrections): -1.918 eV per atom

=====

# 2
The following is a DFT calculation (PBE) of an optimized crystal structure of BaBe2Re.

Cell: 4.039 4.039 6.227 Å, 108.12 108.12 56.01°
Positions (direct):
Ba  0.000  0.000  0.000
Be  0.186  0.186  0.548
Be  0.532  0.532  0.530
Re  0.826  0.826  0.432

Calculated values
- Excess energy over the best structure of this formula in the dataset: 0.0 kJ/mol of formula units
- DOS at the Fermi energy: 1.62 states/eV per cell
- Total DFT energy (no corrections): -5.036 eV per atom

=====

# 3
The following is a DFT calculation (PBE) of an optimized crystal structure of RbI2O2.

Cell: 7.110 7.110 5.629 Å, 90.00 90.00 90.00°
Positions (direct):
Rb  0.000  0.000  0.000
I  0.000  0.500  0.000
I  0.500  0.000  0.000
O  0.000  0.000  0.500
O  0.500  0.500  0.500

Calculated values
- Excess energy over the best structure of this formula in the dataset: 500.5 kJ/mol of formula units
- DOS at the Fermi energy: 11.83 states/eV per cell
- Total DFT energy (no corrections): -1.982 eV per atom
- Formation energy without anion corrections: 393 kJ/mol of formula units

=====

# 4
The following is a DFT calculation (PBE) of an optimized crystal structure of Ho3CoAu.

Cell: 5.894 5.894 8.416 Å, 112.12 112.12 64.34°
Positions (direct):
Ho  0.019  0.019  0.219
Ho  0.293  0.293  0.670
Ho  0.318  0.318  0.140
Ho  0.682  0.682  0.860
Ho  0.707  0.707  0.330
Ho  0.981  0.981  0.781
Co  0.316  0.684  0.000
Co  0.684  0.316  0.000
Au  0.272  0.728  0.500
Au  0.728  0.272  0.500

Calculated values
- Excess energy over the best structure of this formula in the dataset: 0.0 kJ/mol of formula units
- DOS at the Fermi energy: 8.48 states/eV per cell
- Total DFT energy (no corrections): -5.245 eV per atom